(1)
Zr2FeCo3 | the Alexandria database | PBE | relaxed; ΔH_f (0 K) = -0.31 eV per atom; symmetry = R-3m, No. 166; distance to the lowest polymorph of the same formula = 0 meV per atom
1.0
-1.153 -4.701 1.151
1.857 1.079 -4.489
3.481 -3.330 0.640
Co Zr Fe
3 2 1
Direct
0.750 0.375 0.375
0.250 0.375 0.375
0.250 0.875 0.375
0.497 0.749 0.754
0.003 0.001 0.996
0.750 0.375 0.875



(2)
ZrFeCo2 | the Alexandria database | PBE | relaxed; ΔH_f (0 K) = -0.06 eV per atom; symmetry = I-4m2, No. 119
1.0
4.869 0.024 0.000
2.122 4.382 0.000
-3.495 -2.203 2.576
Co Fe Zr
2 1 1
Direct
0.250 0.750 0.500
0.000 0.000 0.000
0.500 0.500 0.000
0.750 0.250 0.500



(3)
ZrFe2Co2 | the Alexandria database | PBE | relaxed; ΔH_f (0 K) = -0.04 eV per atom; symmetry = I4/mmm, No. 139; distance to the lowest polymorph of the same formula = 0 meV per atom
1.0
-1.607 3.126 1.353
-3.269 -1.835 0.357
4.939 -3.321 8.299
Co Fe Zr
4 4 2
Direct
0.250 0.750 0.500
0.750 0.250 0.500
0.930 0.930 0.861
0.070 0.070 0.139
0.817 0.817 0.634
0.000 0.500 0.000
0.500 0.000 0.000
0.183 0.183 0.366
0.373 0.373 0.746
0.627 0.627 0.254



(4)
Zr4FeCo | the Alexandria database | PBE | relaxed; ΔH_f (0 K) = -0.20 eV per atom; symmetry = I422, No. 97; distance to the lowest polymorph of the same formula = 0 meV per atom
1.0
5.277 0.002 0.000
-2.233 4.782 0.000
-1.522 -2.392 4.451
Fe Zr Co
1 4 1
Direct
0.500 0.500 0.000
0.927 0.427 0.855
0.073 0.927 0.500
0.573 0.073 0.145
0.427 0.573 0.500
0.000 0.000 0.000



(5)
ZrFe2Co | the Alexandria database | PBE | relaxed; ΔH_f (0 K) = 0.63 eV per atom; symmetry = I4_1/amd, No. 141
1.0
-2.338 -3.264 0.961
0.173 -1.278 -3.921
13.048 -8.376 3.307
Fe Co Zr
8 4 4
Direct
0.250 0.250 0.250
0.000 0.500 0.000
0.000 0.000 0.000
0.750 0.750 0.750
0.500 0.500 0.500
0.250 0.750 0.750
0.500 0.000 0.500
0.750 0.250 0.250
0.000 0.250 0.125
0.000 0.750 0.875
0.500 0.750 0.625
0.500 0.250 0.375
0.000 0.250 0.625
0.000 0.750 0.375
0.500 0.250 0.875
0.500 0.750 0.125



(6)
ZrFeCo2 | the Alexandria database | PBE | relaxed; ΔH_f (0 K) = 0.10 eV per atom; symmetry = Pmma, No. 51
1.0
-3.137 2.811 1.235
-1.930 -3.309 2.632
6.511 3.330 8.960
Fe Co Zr
4 8 4
Direct
0.500 0.750 0.672
0.000 0.250 0.445
0.500 0.250 0.328
0.000 0.750 0.555
0.500 0.000 0.500
0.500 0.500 0.500
0.244 0.750 0.844
0.244 0.250 0.156
0.756 0.750 0.844
0.000 0.000 0.000
0.000 0.500 0.000
0.756 0.250 0.156
0.000 0.250 0.684
0.000 0.750 0.316
0.500 0.250 0.906
0.500 0.750 0.094



Q: ΔH_f (0 K) of number 2 (ZrFeCo2)?
A: -0.06 eV per atom